Entry 1:
LiPu2PaS4 | GGA-PBE | relaxed

Structure (extended XYZ):
```
8
Lattice="-2.491 2.365 1.867 -2.692 -5.315 3.142 3.321 -1.090 5.813" Properties=species:S:1:pos:R:3 pbc="T T T"
Pu 0.415 0.638 3.840
S -2.437 -3.047 4.703
Li -2.592 -1.475 2.504
S 0.575 -0.992 6.119
S 0.515 -4.757 6.716
Pu 3.321 -1.090 5.813
Pa 0.315 -3.202 4.478
S -2.377 0.718 4.106
```

Calculated values
formation energy (no corrections): -13.0 eV/f.u.
magnetic moment: 12.310 μB per formula unit

---

Entry 2:
Pa2AlIn | GGA-PBE | relaxed

Structure (extended XYZ):
```
4
Lattice="-4.583 1.448 -1.964 -1.256 -1.277 -4.874 -3.684 -3.553 -0.886" Properties=species:S:1:pos:R:3 pbc="T T T"
In -4.761 -1.691 -3.862
Pa -7.143 -2.537 -5.792
Pa -2.380 -0.844 -1.931
Al 0.000 0.000 0.000
```

Calculated values
formation energy: 0.19 eV/atom
magnetic moment: 2.445 μB per formula unit
energy above the lowest structure with this stoichiometry: 0.2740 eV/atom

---

Entry 3:
La2PmPr2Nd | GGA-PBE | relaxed

Structure (extended XYZ):
```
12
Lattice="5.880 0.000 0.000 0.000 7.208 0.000 0.000 0.000 10.154" Properties=species:S:1:pos:R:3 pbc="T T T"
Nd 2.940 5.459 3.410
Pr 2.940 5.460 6.776
Pm 0.000 0.054 5.077
Pr 2.940 1.856 3.377
La 0.000 5.462 8.433
Nd 2.940 1.855 6.743
Pr 0.000 5.462 1.692
Pm 0.000 3.658 5.077
Pr 0.000 1.858 8.461
La 0.000 1.858 1.721
La 2.940 3.660 10.153
La 2.940 0.056 0.000
```

Calculated values
formation energy: 0.04 eV/atom
magnetic moment: 0.000 μB per formula unit

---

Entry 4:
Th12Au3N5 | GGA-PBE | relaxed

Structure (extended XYZ):
```
80
Lattice="-10.208 3.315 -8.761 7.312 -10.551 -5.210 -5.410 -3.711 12.202" Properties=species:S:1:pos:R:3 pbc="T T T"
Th -3.829 -5.961 -3.384
N -4.153 -5.473 -0.884
Th -6.655 -5.061 -1.289
N 0.000 0.000 0.000
Th -3.933 -10.148 2.456
Th -6.072 -7.498 -5.911
Th 3.571 -10.712 -0.736
N -1.334 -8.088 -6.983
Th -13.407 -1.271 2.472
Au -2.716 -9.012 5.231
N -3.191 -5.447 3.483
Th -1.651 -5.886 -0.479
Th -8.739 -2.025 0.174
Th -9.684 -6.644 0.159
Th 0.433 -8.922 -1.942
N -5.114 -5.500 -5.251
Th -2.560 -10.979 -1.978
Th -6.424 1.129 -6.518
Th -6.777 -7.623 2.667
Th -5.745 0.032 0.210
Au -4.124 -5.476 -10.048
Au -3.667 -1.882 1.734
Au -4.182 -5.470 8.279
Th -0.656 -2.392 0.665
Th -1.580 -7.261 7.703
Th -3.298 -8.002 -8.200
Th -5.007 -2.945 6.432
Th -6.540 -4.036 9.919
Th -6.596 -1.987 3.106
Th -3.674 -2.986 -1.307
N 3.656 -5.276 -2.605
Th -7.181 1.129 -2.966
Th -6.725 -3.686 -9.472
N -1.448 -3.618 -6.985
Au -7.695 -4.668 1.723
Th -1.765 -6.911 -11.687
Th -10.789 -4.037 2.433
Th -0.459 -5.969 -6.683
Th -1.528 -3.323 -4.435
Th -1.565 -7.017 2.994
Th -4.477 -4.986 1.616
Th -4.632 -7.960 -0.461
Th -1.124 -12.076 1.198
Th -6.741 -3.930 -4.762
N -10.485 -2.056 -1.342
Th -9.538 -2.019 -3.451
Th 0.520 -8.962 5.244
N -6.971 -2.859 5.215
Th -2.234 -3.448 4.143
Au -4.639 -9.065 -3.503
N 0.114 -4.470 0.002
N -11.476 -2.079 3.455
Th -4.372 -0.799 -4.224
Th 1.379 -4.302 -1.927
Th -8.825 -1.985 -7.012
Th -11.876 -0.235 -1.032
Au 1.065 -11.601 3.498
Th -1.881 -12.075 4.750
Th -4.489 -6.337 5.177
N -5.104 1.658 -4.380
Au -9.370 0.654 -5.266
N 3.170 -8.867 -5.223
N -2.705 -1.855 6.101
Th 5.101 -9.675 -4.241
N -7.809 -0.198 1.721
Th -7.650 -8.554 -2.433
Th -1.710 -8.959 -4.874
Th 1.232 -8.927 1.683
Th 2.483 -6.910 -4.201
Th -3.816 -4.610 -6.945
Au -1.725 -8.989 0.434
Au -0.610 -6.279 -3.491
N -8.419 -6.477 -1.770
N 0.951 -7.131 3.496
Th -7.847 -4.978 4.915
Au -5.590 -1.934 -6.999
N -2.676 -1.858 -3.062
N 2.180 -8.890 -0.426
Au -6.580 -1.957 -2.202
N -5.629 -9.088 1.294
```

Calculated values
formation energy (no corrections): -16.2 eV/f.u.
magnetic moment: 0.000 μB per formula unit

---

Entry 5:
ZrPa2Tl | GGA-PBE | relaxed

Structure (extended XYZ):
```
4
Lattice="-3.268 1.714 -3.744 0.838 -1.309 -5.022 -3.232 -3.369 -2.413" Properties=species:S:1:pos:R:3 pbc="T T T"
Pa -1.416 -0.742 -2.794
Pa -4.246 -2.222 -8.384
Tl -2.831 -1.482 -5.589
Zr 0.000 0.000 0.000
```

Calculated values
formation energy: 0.37 eV/atom
magnetic moment: 0.000 μB per formula unit
energy above the lowest structure with this stoichiometry: 0.3250 eV/atom

---

Entry 6:
PuCoSnRu | GGA-PBE | relaxed

Structure (extended XYZ):
```
4
Lattice="4.636 0.000 0.000 2.318 4.015 0.000 2.318 1.338 3.785" Properties=species:S:1:pos:R:3 pbc="T T T"
Ru 2.318 1.338 0.946
Co 6.954 4.015 2.839
Pu 4.636 2.677 1.893
Sn 0.000 0.000 0.000
```

Calculated values
formation energy: -0.15 eV/atom
magnetic moment: 3.463 μB per formula unit

---

Entry 7:
DyCd2Cu | GGA-PBE | relaxed

Structure (extended XYZ):
```
4
Lattice="3.183 0.000 0.000 1.591 2.756 0.000 1.591 0.919 10.496" Properties=species:S:1:pos:R:3 pbc="T T T"
Cd 4.774 2.756 3.157
Cd 1.591 0.919 7.339
Cu 3.183 1.837 5.248
Dy 0.000 0.000 0.000
```

Calculated values
formation energy: 0.28 eV/atom
magnetic moment: 0.000 μB per formula unit

---

Entry 8:
PaCr3H6 | GGA-PBE | relaxed

Structure (extended XYZ):
```
10
Lattice="-1.705 -3.870 -2.153 2.813 2.992 -2.376 3.532 -0.562 3.459" Properties=species:S:1:pos:R:3 pbc="T T T"
Cr 1.366 -0.879 0.504
H -0.337 -3.055 -1.165
H 2.305 -2.401 -0.228
Cr 3.280 -2.112 1.214
H 3.213 -0.394 0.826
Pa 3.544 -0.732 -1.474
H 2.638 1.509 -1.269
H 1.133 -0.825 -1.242
H 4.583 1.098 -0.277
Cr 1.476 0.594 -2.239
```

Calculated values
calculated total energy: -58.22 eV/cell
magnetic moment: 0.351 μB per formula unit

---

Entry 9:
ZnOs2W | GGA-PBE | relaxed

Structure (extended XYZ):
```
4
Lattice="2.728 0.001 0.000 -1.159 2.469 0.000 0.000 0.000 8.920" Properties=species:S:1:pos:R:3 pbc="T T T"
W 0.784 1.235 2.230
Os 0.000 0.000 0.003
Os 0.000 0.000 4.457
Zn 0.784 1.235 6.690
```

Calculated values
formation energy: 0.31 eV/atom
magnetic moment: 0.000 μB per formula unit

---

Entry 10:
Ca3Tb3PmTe8 | GGA-PBE | relaxed

Structure (extended XYZ):
```
15
Lattice="8.794 0.000 0.000 -4.397 7.618 -0.027 0.000 -5.052 7.358" Properties=species:S:1:pos:R:3 pbc="T T T"
Te -2.140 3.795 5.484
Te 6.538 -1.230 1.847
Tb 2.199 1.283 3.665
Ca 2.199 3.809 -0.014
Tb 4.397 -2.526 3.679
Ca -2.199 3.809 -0.014
Te 0.000 0.089 5.503
Te 2.140 3.795 5.484
Te 2.257 -1.230 1.847
Pm 0.000 -2.526 3.679
Te 4.397 2.476 1.828
Te 0.000 2.544 1.857
Tb -2.199 1.283 3.665
Ca 0.000 0.000 0.000
Te 4.397 0.022 5.473
```

Calculated values
formation energy (no corrections): -22.4 eV/f.u.
magnetic moment: 0.000 μB per formula unit

---

Entry 11:
Tb2PmGd | GGA-PBE | relaxed

Structure (extended XYZ):
```
4
Lattice="3.593 0.000 0.000 0.000 3.593 0.000 0.000 0.000 10.124" Properties=species:S:1:pos:R:3 pbc="T T T"
Pm 1.797 1.797 5.062
Tb 0.000 0.000 7.608
Tb 0.000 0.000 2.516
Gd 1.797 1.797 0.000
```

Calculated values
formation energy: 0.02 eV/atom
magnetic moment: 7.187 μB per formula unit
energy above the lowest structure with this stoichiometry: 0.0057 eV/atom

---

Entry 12:
KCr2Si | GGA-PBE | relaxed

Structure (extended XYZ):
```
4
Lattice="2.718 0.017 0.000 -0.904 2.563 0.000 0.000 0.000 9.431" Properties=species:S:1:pos:R:3 pbc="T T T"
K 0.000 0.000 4.802
Si 0.907 1.290 7.588
Cr 0.000 0.000 0.030
Cr 0.907 1.290 1.725
```

Calculated values
formation energy (no corrections): 2.7 eV/f.u.
magnetic moment: 0.001 μB per formula unit